Version A
Compound: BaGeRh3
Source: Alexandria
Functional: PBE-GGA
Structure: optimized geometry

Cell: 4.728 4.728 4.728 Å, 90.00 90.00 90.00°
Atoms (fractional coordinates):
1 Ba 0.500 0.500 0.500
2 Rh 0.000 0.000 0.500
3 Rh 0.000 0.500 0.000
4 Ge 0.000 0.000 0.000
5 Rh 0.500 0.000 0.000

Output
crystal system: cubic
ρ: 8.15 Mg/m³

=====

Version B
Compound: BaGeRh3
Source: Alexandria
Functional: PBE-GGA
Structure: optimized geometry

Cell: 5.058 5.058 5.058 Å, 90.00 90.00 90.00°
Atoms (fractional coordinates):
1 Rh 0.500 0.000 0.000
2 Ge 0.500 0.500 0.500
3 Rh 0.000 0.000 0.500
4 Ba 0.000 0.000 0.000
5 Rh 0.000 0.500 0.000

Output
crystal system: cubic
ρ: 6.65 Mg/m³

=====

Pick version A: it beats the second-best structure by 1851 meV per atom.